(1)
Mn2BeCo (PBE, relaxed); space group = P4/mmm, No. 123; mass density = 7.11 g/cm³; energy of formation from the pure elements = 0.06 eV/f.u.
1.0
-1.3760 -3.0810 -0.8763
3.1645 -1.3710 -0.1485
-0.2134 -0.8541 3.3378
Be Mn Co
1 2 1
direct
0.5000 0.5000 0.0000 Be
0.0000 0.0000 0.0000 Mn
0.0000 0.5000 0.5000 Mn
0.5000 0.0000 0.5000 Co


(2)
MnBe6Co5 (PBE, relaxed); space group = Immm, No. 71; mass density = 6.25 g/cm³; energy of formation from the pure elements = -3.54 eV/f.u.
1.0
3.5248 0.0029 -1.0846
-0.5781 4.8954 -1.8655
0.0319 -0.4051 6.3726
Be Mn Co
6 1 5
direct
0.1735 0.4372 0.3469 Be
0.1735 0.9097 0.3469 Be
0.5000 0.2768 0.0000 Be
0.5000 0.7232 0.0000 Be
0.8265 0.0903 0.6531 Be
0.8265 0.5628 0.6531 Be
0.0000 0.0000 0.0000 Mn
0.3431 0.8431 0.6862 Co
0.6691 0.6691 0.3382 Co
0.0000 0.5000 0.0000 Co
0.3309 0.3309 0.6618 Co
0.6569 0.1569 0.3138 Co


(3)
Mn3BeCo4 (PBE, relaxed); space group = P4/mmm, No. 123; mass density = 7.85 g/cm³; energy of formation from the pure elements = -0.43 eV/f.u.
1.0
-0.9281 2.5807 0.6035
-2.1149 -1.1065 1.4793
6.2528 0.1346 9.0400
Be Mn Co
1 3 4
direct
0.5000 0.5000 0.0000 Be
0.5000 0.5000 0.2363 Mn
0.5000 0.5000 0.5000 Mn
0.5000 0.5000 0.7637 Mn
0.0000 0.0000 0.8882 Co
0.0000 0.0000 0.1118 Co
0.0000 0.0000 0.3674 Co
0.0000 0.0000 0.6326 Co


(4)
Mn2Be15Co2 (PBE, relaxed); space group = R-3m, No. 166; mass density = 3.69 g/cm³; energy of formation from the pure elements = -2.42 eV/f.u.
1.0
5.5069 -0.0071 -0.0063
0.7074 5.4613 -0.0063
0.7074 0.6209 5.4259
Mn Be Co
2 15 2
direct
0.3448 0.3448 0.3448 Mn
0.6552 0.6552 0.6552 Mn
0.5000 0.0000 0.0000 Be
0.0000 0.0000 0.5000 Be
0.0000 0.5000 0.0000 Be
0.0000 0.6995 0.3005 Be
0.6995 0.3005 0.0000 Be
0.3005 0.0000 0.6995 Be
0.3005 0.6995 0.0000 Be
0.6995 0.0000 0.3005 Be
0.0000 0.3005 0.6995 Be
0.1608 0.6528 0.6528 Be
0.6528 0.6528 0.1608 Be
0.6528 0.1608 0.6528 Be
0.8392 0.3472 0.3472 Be
0.3472 0.3472 0.8392 Be
0.3472 0.8392 0.3472 Be
0.1025 0.1025 0.1025 Co
0.8975 0.8975 0.8975 Co


(5)
Mn2BeCo (PBE, relaxed); space group = F-43m, No. 216; mass density = 7.11 g/cm³; energy of formation from the pure elements = -0.31 eV/f.u.
1.0
-0.9166 -2.8752 -2.4494
2.8009 -1.8538 -1.9558
0.8907 -3.6754 0.8972
Be Mn Co
1 2 1
direct
0.5000 0.5000 0.5000 Be
0.0000 0.0000 0.0000 Mn
0.2500 0.2500 0.2500 Mn
0.7500 0.7500 0.7500 Co


(6)
MnBe2Co (PBE, relaxed); space group = Cmm2, No. 35; mass density = 5.65 g/cm³; energy of formation from the pure elements = 0.23 eV/f.u.
1.0
2.3450 -0.0015 0.0000
-0.7453 2.2234 0.0000
0.0000 0.0000 7.4326
Be Mn Co
2 1 1
direct
0.0000 0.0000 0.0072 Be
0.5000 0.5000 0.2467 Be
0.5000 0.5000 0.7597 Mn
0.0000 0.0000 0.4865 Co


(7)
Mn2BeCo (PBE, relaxed); space group = P4/mmm, No. 123; mass density = 6.67 g/cm³; energy of formation from the pure elements = -0.12 eV/f.u.
1.0
-3.8412 -0.9580 -0.0858
0.5057 -1.7111 -3.5350
0.5837 -2.4545 1.2716
Be Mn Co
1 2 1
direct
0.5000 0.0000 0.5000 Be
0.0000 0.0000 0.0000 Mn
0.5000 0.5000 0.0000 Mn
0.0000 0.5000 0.5000 Co


(8)
MnBeCo2 (PBE, relaxed); space group = R-3m, No. 166; mass density = 7.54 g/cm³; energy of formation from the pure elements = 0.01 eV/f.u.
1.0
-6.9060 -1.8723 -3.1047
-5.4434 -2.6507 -4.9173
-5.9084 -4.1139 -3.0006
Be Mn Co
1 1 2
direct
0.7500 0.7500 0.7500 Be
0.2500 0.2500 0.2500 Mn
0.0037 0.0037 0.0037 Co
0.4963 0.4963 0.4963 Co


(9)
MnBeCo2 (PBE, relaxed); space group = Imm2, No. 44; mass density = 7.25 g/cm³; energy of formation from the pure elements = -0.18 eV/f.u.
1.0
-3.7365 1.9924 -1.6936
-3.9362 -0.7646 2.1728
4.2375 1.6273 0.4413
Be Mn Co
1 1 2
direct
0.2418 0.7418 0.5000 Be
0.4968 0.4968 0.0000 Mn
0.0065 0.0065 0.0000 Co
0.7549 0.2549 0.5000 Co


(10)
Mn2BeCo (PBE, relaxed); space group = P2/m, No. 10; mass density = 7.04 g/cm³; energy of formation from the pure elements = 0.04 eV/f.u.
1.0
2.5480 0.0000 0.0000
0.0000 4.0574 -0.0024
0.0000 2.9508 4.0531
Be Mn Co
1 2 1
direct
0.5000 0.5000 0.5000 Be
0.0000 0.0000 0.0000 Mn
0.5000 0.5000 0.0000 Mn
0.0000 0.0000 0.5000 Co


(11)
Mn2BeCo (PBE, relaxed); space group = Immm, No. 71; mass density = 7.51 g/cm³; energy of formation from the pure elements = -0.23 eV/f.u.
1.0
4.4892 -0.0215 0.0005
3.6263 2.6465 0.0005
1.4764 0.4776 3.2896
Be Mn Co
1 2 1
direct
0.7500 0.7500 0.7500 Be
0.0063 0.0063 0.9936 Mn
0.4937 0.4937 0.5064 Mn
0.2500 0.2500 0.2500 Co


(12)
MnBe2Co (PBE, relaxed); space group = P4mm, No. 99; mass density = 6.09 g/cm³; energy of formation from the pure elements = -0.60 eV/f.u.
1.0
-2.3797 -0.7950 -0.3740
0.7213 -2.3844 0.4789
-1.1053 0.7554 5.4265
Be Mn Co
2 1 1
direct
0.0000 0.0000 0.0236 Be
0.5000 0.5000 0.2386 Be
0.5000 0.5000 0.7615 Mn
0.0000 0.0000 0.4763 Co


(13)
Mn2Be16Co (PBE, relaxed); space group = R3m, No. 160; mass density = 3.24 g/cm³; energy of formation from the pure elements = -2.28 eV/f.u.
1.0
-2.8867 -4.5435 1.0019
2.3915 -1.3191 4.7456
-3.7288 2.2542 3.3158
Mn Be Co
2 16 1
direct
0.6604 0.6604 0.6604 Mn
0.3353 0.3353 0.3353 Mn
0.6986 0.9980 0.2996 Be
0.9980 0.2996 0.6986 Be
0.2996 0.6986 0.9980 Be
0.9980 0.6986 0.2996 Be
0.6986 0.2996 0.9980 Be
0.2996 0.9980 0.6986 Be
0.3501 0.8339 0.3501 Be
0.8339 0.3501 0.3501 Be
0.3501 0.3501 0.8339 Be
0.6540 0.1524 0.6540 Be
0.1524 0.6540 0.6540 Be
0.6540 0.6540 0.1524 Be
0.9985 0.5042 0.9985 Be
0.5042 0.9985 0.9985 Be
0.9985 0.9985 0.5042 Be
0.1068 0.1068 0.1068 Be
0.9093 0.9093 0.9093 Co


(14)
MnBeCo2 (PBE, relaxed); space group = P4/mmm, No. 123; mass density = 7.44 g/cm³; energy of formation from the pure elements = -0.39 eV/f.u.
1.0
2.8207 0.0000 0.0000
0.0000 3.7929 0.0000
0.0000 0.0000 3.7929
Be Mn Co
1 1 2
direct
0.5000 0.0000 0.5000 Be
0.5000 0.5000 0.0000 Mn
0.0000 0.0000 0.0000 Co
0.0000 0.5000 0.5000 Co


(15)
Mn2BeCo (PBE, relaxed); space group = P4/mmm, No. 123; mass density = 7.37 g/cm³; energy of formation from the pure elements = 0.05 eV/f.u.
1.0
-2.4507 -0.1637 -0.1901
-0.1061 -1.0246 2.2379
-0.6102 5.9862 2.7119
Be Mn Co
1 2 1
direct
0.5000 0.5000 0.2500 Be
0.0000 0.0000 0.0134 Mn
0.0000 0.0000 0.4866 Mn
0.5000 0.5000 0.7500 Co


(16)
Mn2BeCo (PBE, relaxed); space group = Pmmm, No. 47; mass density = 7.43 g/cm³; energy of formation from the pure elements = -0.09 eV/f.u.
1.0
-2.7727 2.2356 -0.6952
-1.5389 -1.5966 1.0036
-0.9612 0.3659 5.0101
Be Mn Co
1 2 1
direct
0.5000 0.2500 0.2500 Be
0.0000 0.9797 0.0203 Mn
0.0000 0.5203 0.4797 Mn
0.5000 0.7500 0.7500 Co


(17)
MnBeCo2 (PBE, relaxed); space group = P4/mmm, No. 123; mass density = 7.89 g/cm³; energy of formation from the pure elements = -0.59 eV/f.u.
1.0
2.5160 0.0000 0.0000
0.0000 2.5160 0.0000
0.0000 0.0000 6.0423
Be Mn Co
1 1 2
direct
0.5000 0.5000 0.7500 Be
0.5000 0.5000 0.2500 Mn
0.0000 0.0000 0.9771 Co
0.0000 0.0000 0.5229 Co


(18)
Mn6BeCo5 (PBE, relaxed); space group = P2/m, No. 10; mass density = 8.39 g/cm³; energy of formation from the pure elements = 0.54 eV/f.u.
1.0
-3.9948 1.1136 -1.0480
-1.7426 -3.2029 3.2390
-0.0506 4.2880 4.2130
Be Mn Co
1 6 5
direct
0.0000 0.0000 0.0000 Be
0.8301 0.7518 0.6670 Mn
0.8301 0.2482 0.6670 Mn
0.5000 0.2483 0.0000 Mn
0.5000 0.7517 0.0000 Mn
0.1699 0.7518 0.3330 Mn
0.1699 0.2482 0.3330 Mn
0.6710 0.5000 0.3330 Co
0.3285 0.0000 0.6699 Co
0.0000 0.5000 0.0000 Co
0.6715 0.0000 0.3301 Co
0.3290 0.5000 0.6670 Co


(19)
Mn2BeCo (PBE, relaxed); space group = Cmmm, No. 65; mass density = 7.09 g/cm³; energy of formation from the pure elements = 0.13 eV/f.u.
1.0
-0.0241 -0.8097 4.1436
-2.7838 -2.5196 -1.9306
1.7665 -1.7044 -0.3228
Be Mn Co
1 2 1
direct
0.5000 0.0000 0.5000 Be
0.0000 0.0000 0.0000 Mn
0.5000 0.5000 0.0000 Mn
0.0000 0.5000 0.5000 Co


(20)
MnBe2Co (PBE, relaxed); space group = C2/m, No. 12; mass density = 5.82 g/cm³; energy of formation from the pure elements = -0.22 eV/f.u.
1.0
4.6841 0.0282 0.0896
-2.1092 3.7093 -0.0244
0.4657 0.6832 2.1701
Be Mn Co
2 1 1
direct
0.0000 0.0000 0.0000 Be
0.5000 0.0000 0.5000 Be
0.5000 0.5000 0.0000 Mn
0.0000 0.5000 0.5000 Co


(21)
MnBeCo2 (PBE, relaxed); space group = I-4m2, No. 119; mass density = 7.44 g/cm³; energy of formation from the pure elements = -0.20 eV/f.u.
1.0
-4.2402 0.6309 -0.3522
-2.3122 -3.1476 1.8020
3.2801 2.4381 1.3407
Be Mn Co
1 1 2
direct
0.7500 0.2500 0.5000 Be
0.5000 0.5000 0.0000 Mn
0.0000 0.0000 0.0000 Co
0.2500 0.7500 0.5000 Co


(22)
Mn2BeCo (PBE, relaxed); space group = Imm2, No. 44; mass density = 6.97 g/cm³; energy of formation from the pure elements = -0.37 eV/f.u.
1.0
-0.1316 4.1989 0.8624
-2.6595 2.3486 2.4090
1.2893 0.8206 3.0891
Be Mn Co
1 2 1
direct
0.4991 0.4991 0.5009 Be
0.0001 0.0001 0.0000 Mn
0.7501 0.7501 0.7499 Mn
0.2507 0.2507 0.2492 Co


(23)
Mn2BeCo (PBE, relaxed); space group = Imm2, No. 44; mass density = 7.32 g/cm³; energy of formation from the pure elements = -0.04 eV/f.u.
1.0
-2.2380 3.7599 -0.7106
-4.2906 -0.5355 -0.9770
3.0705 -0.8302 3.0876
Be Mn Co
1 2 1
direct
0.4957 0.4957 0.0000 Be
0.9983 0.9983 0.0000 Mn
0.7470 0.2470 0.5000 Mn
0.2589 0.7589 0.5000 Co


(24)
Mn2BeCo3 (PBE, relaxed); space group = Cmmm, No. 65; mass density = 7.73 g/cm³; energy of formation from the pure elements = -0.35 eV/f.u.
1.0
-3.9400 -0.0633 -0.0156
-1.9042 -2.8506 -5.1893
0.0652 -4.8002 2.6124
Mn Be Co
4 2 6
direct
0.0000 0.0000 0.0000 Mn
0.0000 0.0000 0.5000 Mn
0.3332 0.3337 0.5000 Mn
0.6668 0.6663 0.5000 Mn
0.3372 0.3257 0.0000 Be
0.6628 0.6743 0.0000 Be
0.8301 0.3401 0.7600 Co
0.4998 0.0000 0.2462 Co
0.1699 0.6599 0.2400 Co
0.8298 0.3401 0.2400 Co
0.1702 0.6599 0.7600 Co
0.5002 0.0000 0.7538 Co


(25)
MnBe2Co (PBE, relaxed); space group = Amm2, No. 38; mass density = 5.81 g/cm³; energy of formation from the pure elements = -0.59 eV/f.u.
1.0
-0.0062 2.2215 -2.6459
-0.0726 -1.9805 -1.6627
-4.2554 -0.9004 -0.7460
Be Mn Co
2 1 1
direct
0.0000 0.1912 0.9912 Be
0.5000 0.0545 0.2677 Be
0.5000 0.7875 0.7985 Mn
0.0000 0.4668 0.4425 Co


(26)
Mn2BeCo (PBE, relaxed); space group = I-42d, No. 122; mass density = 6.27 g/cm³; energy of formation from the pure elements = 2.12 eV/f.u.
1.0
-3.8033 1.1400 4.9051
3.7744 -3.4237 3.7224
1.2358 0.7998 4.8319
Be Mn Co
2 4 2
direct
0.5000 0.5000 0.0000 Be
0.2500 0.7500 0.5000 Be
0.6073 0.1250 0.2500 Mn
0.1427 0.6250 0.2500 Mn
0.3750 0.3927 0.7500 Mn
0.8750 0.8573 0.7500 Mn
0.0000 0.0000 0.0000 Co
0.7500 0.2500 0.5000 Co


(27)
Mn3BeCo (PBE, relaxed); space group = Pm-3m, No. 221; E above lowest polymorph = 0 meV per atom; mass density = 6.75 g/cm³; energy of formation from the pure elements = 4.14 eV/f.u.
1.0
-2.6502 2.3455 1.5266
-1.9228 0.0015 -3.3404
-2.0334 -3.0584 1.1691
Be Mn Co
1 3 1
direct
0.0000 0.0000 0.0000 Be
0.0000 0.5000 0.0000 Mn
0.0000 0.0000 0.5000 Mn
0.5000 0.0000 0.0000 Mn
0.5000 0.5000 0.5000 Co